[1]
A plane-wave DFT calculation with PBE-GGA was carried out for a relaxed LaCd2Ru crystal.

Unit cell a=5.027 b=5.027 c=5.027 alpha=119.86 beta=119.86 gamma=90.24
Positions (direct):
La  0.500  0.500  0.000
Cd  0.000  0.000  0.000
Cd  0.250  0.750  0.500
Ru  0.750  0.250  0.500

Computed properties:
V: 90.0 Å³/cell
M_tot: 0.00 Bohr magnetons per cell
Energy of formation: 0.3 eV per formula unit
Energy: -3.9444 eV/atom
DOS at the Fermi energy: 0.88 states/eV per atom


[2]
A plane-wave DFT calculation with PBE-GGA was carried out for a relaxed LaCdRu3 crystal.

Unit cell a=4.837 b=4.837 c=4.837 alpha=90.00 beta=90.00 gamma=90.00
Positions (direct):
Cd  0.500  0.500  0.500
Ru  0.000  0.500  0.000
Ru  0.000  0.000  0.500
Ru  0.500  0.000  0.000
La  0.000  0.000  0.000

Computed properties:
V: 113.2 Å³/cell
M_tot: 2.26 Bohr magnetons per cell
Energy of formation: 8.3 eV per formula unit
Energy: -5.0818 eV/atom
DOS at the Fermi energy: 1.71 states/eV per atom
Polymorph energy (0 for the lowest one): 264.1 meV per atom


[3]
A plane-wave DFT calculation with PBE-GGA was carried out for a relaxed LaCd2Ru crystal.

Unit cell a=5.039 b=5.039 c=5.039 alpha=60.00 beta=60.00 gamma=60.00
Positions (direct):
Cd  0.250  0.250  0.250
Cd  0.750  0.750  0.750
Ru  0.000  0.000  0.000
La  0.500  0.500  0.500

Computed properties:
V: 90.5 Å³/cell
M_tot: 0.01 Bohr magnetons per cell
Energy of formation: 0.6 eV per formula unit
Energy: -3.8605 eV/atom
DOS at the Fermi energy: 1.69 states/eV per atom


[4]
A plane-wave DFT calculation with PBE-GGA was carried out for a relaxed La4Cd5Ru2 crystal.

Unit cell a=3.869 b=7.878 c=9.837 alpha=94.67 beta=90.00 gamma=90.00
Positions (direct):
Ru  0.000  0.078  0.651
Cd  0.000  0.500  0.000
La  0.500  0.168  0.843
Ru  0.000  0.922  0.349
Cd  0.000  0.808  0.846
Cd  0.000  0.547  0.322
Cd  0.000  0.453  0.678
La  0.500  0.789  0.552
La  0.500  0.211  0.448
Cd  0.000  0.192  0.154
La  0.500  0.832  0.157

Computed properties:
V: 298.9 Å³/cell
M_tot: 0.00 Bohr magnetons per cell
Energy of formation: -3.3 eV per formula unit
Energy: -4.1976 eV/atom
DOS at the Fermi energy: 0.75 states/eV per atom


[5]
A plane-wave DFT calculation with PBE-GGA was carried out for a relaxed La4CdRu crystal.

Unit cell a=6.302 b=6.302 c=6.302 alpha=60.00 beta=60.00 gamma=60.00
Positions (direct):
La  0.624  0.624  0.624
Ru  0.250  0.250  0.250
Cd  0.000  0.000  0.000
La  0.128  0.624  0.624
La  0.624  0.128  0.624
La  0.624  0.624  0.128

Computed properties:
V: 177.0 Å³/cell
M_tot: 1.65 Bohr magnetons per cell
Energy of formation: 3.8 eV per formula unit
Energy: -4.3465 eV/atom
DOS at the Fermi energy: 1.71 states/eV per atom
Polymorph energy (0 for the lowest one): 945.4 meV per atom


[6]
A plane-wave DFT calculation with PBE-GGA was carried out for a relaxed La11Cd9Ru4 crystal.

Unit cell a=3.930 b=13.460 c=13.460 alpha=112.50 beta=90.00 gamma=90.00
Positions (direct):
Ru  0.500  0.246  0.453
Ru  0.500  0.754  0.547
Cd  0.500  0.500  0.500
La  0.000  0.912  0.581
Cd  0.500  0.217  0.078
Cd  0.500  0.842  0.363
Cd  0.500  0.637  0.158
La  0.000  0.000  0.000
La  0.000  0.625  0.375
La  0.000  0.313  0.313
Cd  0.500  0.158  0.637
La  0.000  0.088  0.419
La  0.000  0.841  0.159
Cd  0.500  0.922  0.783
Cd  0.500  0.783  0.922
Ru  0.500  0.453  0.246
La  0.000  0.375  0.625
La  0.000  0.687  0.687
Cd  0.500  0.363  0.842
Cd  0.500  0.078  0.217
Ru  0.500  0.547  0.754
La  0.000  0.419  0.088
La  0.000  0.159  0.841
La  0.000  0.581  0.912

Computed properties:
V: 657.8 Å³/cell
M_tot: 0.74 Bohr magnetons per cell
Energy of formation: -8.1 eV per formula unit
Energy: -4.4867 eV/atom
DOS at the Fermi energy: 0.80 states/eV per atom


[7]
A plane-wave DFT calculation with PBE-GGA was carried out for a relaxed La2CdRu crystal.

Unit cell a=3.603 b=3.603 c=7.478 alpha=90.00 beta=90.00 gamma=90.00
Positions (direct):
La  0.000  0.000  0.997
Cd  0.500  0.500  0.709
La  0.500  0.500  0.294
Ru  0.000  0.000  0.500

Computed properties:
V: 97.1 Å³/cell
M_tot: 0.00 Bohr magnetons per cell
Energy of formation: 0.1 eV per formula unit
Energy: -4.9800 eV/atom
DOS at the Fermi energy: 1.04 states/eV per atom


[8]
A plane-wave DFT calculation with PBE-GGA was carried out for a relaxed La2CdRu crystal.

Unit cell a=5.663 b=5.663 c=5.663 alpha=135.52 beta=119.94 gamma=77.73
Positions (direct):
La  0.544  0.544  0.000
Cd  0.250  0.750  0.500
La  0.956  0.956  0.000
Ru  0.750  0.250  0.500

Computed properties:
V: 107.1 Å³/cell
M_tot: 0.00 Bohr magnetons per cell
Energy of formation: -0.7 eV per formula unit
Energy: -5.1833 eV/atom
DOS at the Fermi energy: 0.71 states/eV per atom


[9]
A plane-wave DFT calculation with PBE-GGA was carried out for a relaxed LaCdRu3 crystal.

Unit cell a=4.879 b=4.879 c=4.879 alpha=90.00 beta=90.00 gamma=90.00
Positions (direct):
Ru  0.000  0.000  0.500
Ru  0.500  0.000  0.000
Ru  0.000  0.500  0.000
Cd  0.000  0.000  0.000
La  0.500  0.500  0.500

Computed properties:
V: 116.1 Å³/cell
M_tot: 0.00 Bohr magnetons per cell
Energy of formation: 6.9 eV per formula unit
Energy: -5.3459 eV/atom
DOS at the Fermi energy: 1.71 states/eV per atom
Polymorph energy (0 for the lowest one): 0.0 meV per atom


[10]
A plane-wave DFT calculation with PBE-GGA was carried out for a relaxed La4Cd3Ru crystal.

Unit cell a=6.635 b=6.635 c=6.635 alpha=109.47 beta=109.47 gamma=109.47
Positions (direct):
Cd  0.500  0.500  0.000
Cd  0.000  0.500  0.500
La  0.500  0.000  0.000
Ru  0.000  0.000  0.000
La  0.500  0.500  0.500
Cd  0.500  0.000  0.500
La  0.000  0.500  0.000
La  0.000  0.000  0.500

Computed properties:
V: 224.8 Å³/cell
M_tot: 0.00 Bohr magnetons per cell
Energy of formation: -1.8 eV per formula unit
Energy: -4.1970 eV/atom
DOS at the Fermi energy: 0.80 states/eV per atom


[11]
A plane-wave DFT calculation with PBE-GGA was carried out for a relaxed La2ScCdRu crystal.

Unit cell a=5.512 b=5.512 c=5.056 alpha=90.00 beta=90.00 gamma=90.00
Positions (direct):
Sc  0.000  0.000  0.500
La  0.000  0.500  0.000
La  0.500  0.000  0.000
Cd  0.500  0.500  0.500
Ru  0.000  0.000  0.000

Computed properties:
V: 153.6 Å³/cell
M_tot: 0.00 Bohr magnetons per cell
Energy of formation: -1.0 eV per formula unit
Energy: -5.4706 eV/atom
DOS at the Fermi energy: 0.88 states/eV per atom


[12]
A plane-wave DFT calculation with PBE-GGA was carried out for a relaxed SrLa2CdRu crystal.

Unit cell a=5.417 b=5.417 c=5.665 alpha=90.00 beta=90.00 gamma=90.00
Positions (direct):
Cd  0.000  0.000  0.500
La  0.500  0.000  0.000
Ru  0.000  0.000  0.000
La  0.000  0.500  0.000
Sr  0.500  0.500  0.500

Computed properties:
V: 166.2 Å³/cell
M_tot: 0.00 Bohr magnetons per cell
Energy of formation: -0.8 eV per formula unit
Energy: -4.5127 eV/atom
DOS at the Fermi energy: 0.82 states/eV per atom
Polymorph energy (0 for the lowest one): 0.0 meV per atom


[13]
A plane-wave DFT calculation with PBE-GGA was carried out for a relaxed SrLa2CdRu crystal.

Unit cell a=5.376 b=5.376 c=6.057 alpha=90.00 beta=90.00 gamma=90.00
Positions (direct):
La  0.000  0.500  0.000
Ru  0.000  0.000  0.000
Sr  0.000  0.000  0.500
Cd  0.500  0.500  0.500
La  0.500  0.000  0.000

Computed properties:
V: 175.0 Å³/cell
M_tot: 0.00 Bohr magnetons per cell
Energy of formation: -0.7 eV per formula unit
Energy: -4.4901 eV/atom
DOS at the Fermi energy: 0.96 states/eV per atom
Polymorph energy (0 for the lowest one): 22.7 meV per atom


[14]
A plane-wave DFT calculation with PBE-GGA was carried out for a relaxed LaTbCdRu crystal.

Unit cell a=3.534 b=3.534 c=7.954 alpha=90.00 beta=90.00 gamma=90.00
Positions (direct):
La  0.500  0.500  0.785
Ru  0.000  0.000  0.556
Tb  0.500  0.500  0.354
Cd  0.000  0.000  0.089

Computed properties:
V: 99.3 Å³/cell
M_tot: 0.00 Bohr magnetons per cell
Energy of formation: -1.2 eV per formula unit
Energy: -5.2454 eV/atom
DOS at the Fermi energy: 1.08 states/eV per atom
Polymorph energy (0 for the lowest one): 0.0 meV per atom


[15]
A plane-wave DFT calculation with PBE-GGA was carried out for a relaxed LaTbCdRu crystal.

Unit cell a=5.173 b=5.173 c=5.173 alpha=60.00 beta=60.00 gamma=60.00
Positions (direct):
Cd  0.250  0.250  0.250
La  0.000  0.000  0.000
Tb  0.500  0.500  0.500
Ru  0.750  0.750  0.750

Computed properties:
V: 97.9 Å³/cell
M_tot: 0.00 Bohr magnetons per cell
Energy of formation: -0.8 eV per formula unit
Energy: -5.1405 eV/atom
DOS at the Fermi energy: 0.93 states/eV per atom
Polymorph energy (0 for the lowest one): 104.9 meV per atom


[16]
A plane-wave DFT calculation with PBE-GGA was carried out for a relaxed LaTl2CdRu crystal.

Unit cell a=5.386 b=5.386 c=5.181 alpha=90.00 beta=90.00 gamma=90.00
Positions (direct):
Ru  0.000  0.000  0.000
Tl  0.000  0.500  0.000
Tl  0.500  0.000  0.000
Cd  0.500  0.500  0.500
La  0.000  0.000  0.500

Computed properties:
V: 150.3 Å³/cell
M_tot: 0.00 Bohr magnetons per cell
Energy of formation: -0.5 eV per formula unit
Energy: -4.0674 eV/atom
DOS at the Fermi energy: 0.59 states/eV per atom


[17]
A plane-wave DFT calculation with PBE-GGA was carried out for a relaxed LaTmCdRu crystal.

Unit cell a=3.495 b=3.495 c=7.925 alpha=90.00 beta=90.00 gamma=90.00
Positions (direct):
Ru  0.000  0.000  0.550
La  0.500  0.500  0.784
Tm  0.500  0.500  0.355
Cd  0.000  0.000  0.095

Computed properties:
V: 96.8 Å³/cell
M_tot: 0.00 Bohr magnetons per cell
Energy of formation: -1.4 eV per formula unit
Energy: -5.2372 eV/atom
DOS at the Fermi energy: 1.14 states/eV per atom
Polymorph energy (0 for the lowest one): 0.0 meV per atom


[18]
A plane-wave DFT calculation with PBE-GGA was carried out for a relaxed LaTmCdRu crystal.

Unit cell a=5.132 b=5.132 c=5.132 alpha=60.00 beta=60.00 gamma=60.00
Positions (direct):
Cd  0.250  0.250  0.250
La  0.500  0.500  0.500
Ru  0.750  0.750  0.750
Tm  0.000  0.000  0.000

Computed properties:
V: 95.6 Å³/cell
M_tot: 0.00 Bohr magnetons per cell
Energy of formation: -0.9 eV per formula unit
Energy: -5.1138 eV/atom
DOS at the Fermi energy: 0.85 states/eV per atom
Polymorph energy (0 for the lowest one): 123.4 meV per atom


[19]
A plane-wave DFT calculation with PBE-GGA was carried out for a relaxed LaCdRu2W crystal.

Unit cell a=4.762 b=5.505 c=4.762 alpha=90.00 beta=90.00 gamma=90.00
Positions (direct):
La  0.000  0.500  0.000
Ru  0.500  0.000  0.000
Ru  0.000  0.000  0.500
Cd  0.500  0.500  0.500
W  0.000  0.000  0.000

Computed properties:
V: 124.8 Å³/cell
M_tot: 0.43 Bohr magnetons per cell
Energy of formation: 5.0 eV per formula unit
Energy: -6.4732 eV/atom
DOS at the Fermi energy: 1.01 states/eV per atom


[20]
A plane-wave DFT calculation with PBE-GGA was carried out for a relaxed LaYCdRu crystal.

Unit cell a=3.542 b=3.542 c=7.902 alpha=90.00 beta=90.00 gamma=90.00
Positions (direct):
Ru  0.000  0.000  0.557
Cd  0.000  0.000  0.091
La  0.500  0.500  0.785
Y  0.500  0.500  0.352

Computed properties:
V: 99.1 Å³/cell
M_tot: 0.00 Bohr magnetons per cell
Energy of formation: -1.2 eV per formula unit
Energy: -5.7069 eV/atom
DOS at the Fermi energy: 1.03 states/eV per atom
Polymorph energy (0 for the lowest one): 0.0 meV per atom